Record 1
Crystalline Na2CuSbCl6 at its relaxed geometry. Source: Alexandria via LeMat-Bulk, functional PBE.

Calculated values
- total energy (eV per atom) = -3.200
- magnetization (Bohr magnetons per cell) = 0.00
- uncorrected formation energy (eV/atom) = -1.007
- E above lowest polymorph (kJ/mol of formula units) = 137

The structure in CIF format:
```
data_Na2CuSbCl6
_cell_length_a 7.249
_cell_length_b 7.249
_cell_length_c 7.249
_cell_angle_alpha 60.00
_cell_angle_beta 60.00
_cell_angle_gamma 60.00
_symmetry_space_group_name_H-M 'P 1'
_symmetry_Int_Tables_number 1
_symmetry_space_group_name_Hall 'P 1'
loop_
_atom_site_label
_atom_site_type_symbol
_atom_site_fract_x
_atom_site_fract_y
_atom_site_fract_z
Cl1 Cl 0.259 0.259 0.741
Cl2 Cl 0.741 0.741 0.259
Cl3 Cl 0.259 0.741 0.741
Cl4 Cl 0.259 0.741 0.259
Cl5 Cl 0.741 0.259 0.741
Cl6 Cl 0.741 0.259 0.259
Cu1 Cu 0.500 0.500 0.500
Na1 Na 0.750 0.750 0.750
Na2 Na 0.250 0.250 0.250
Sb1 Sb 0.000 0.000 0.000
```

Record 2
Crystalline LaHf2Si2 at its relaxed geometry. Source: Alexandria via LeMat-Bulk, functional PBE.

Calculated values
- Fermi-level density of states (states/eV per cell) = 4.99
- total energy (eV per atom) = -7.644
- magnetization (Bohr magnetons per cell) = 0.00
- uncorrected formation energy (eV/atom) = -0.508
- E above lowest polymorph (kJ/mol of formula units) = 0

The structure in CIF format:
```
data_LaHf2Si2
_cell_length_a 7.611
_cell_length_b 7.611
_cell_length_c 3.524
_cell_angle_alpha 90.00
_cell_angle_beta 90.00
_cell_angle_gamma 90.00
_symmetry_space_group_name_H-M 'P 1'
_symmetry_Int_Tables_number 1
_symmetry_space_group_name_Hall 'P 1'
loop_
_atom_site_label
_atom_site_type_symbol
_atom_site_fract_x
_atom_site_fract_y
_atom_site_fract_z
Hf1 Hf 0.831 0.331 0.500
Hf2 Hf 0.669 0.831 0.500
Hf3 Hf 0.169 0.669 0.500
Hf4 Hf 0.331 0.169 0.500
Si1 Si 0.117 0.383 0.000
Si2 Si 0.617 0.117 0.000
Si3 Si 0.383 0.883 0.000
Si4 Si 0.883 0.617 0.000
La1 La 0.000 0.000 0.000
La2 La 0.500 0.500 0.000
```

Record 3
Crystalline TaHg2Rh at its relaxed geometry. Source: Alexandria via LeMat-Bulk, functional PBE.

Calculated values
- Fermi-level density of states (states/eV per cell) = 3.01
- ΔE_f (eV/atom) = 0.270
- total energy (eV per atom) = -4.682
- magnetization (Bohr magnetons per cell) = 0.00
- E above lowest polymorph (kJ/mol of formula units) = 102

The structure in CIF format:
```
data_TaHg2Rh
_cell_length_a 5.055
_cell_length_b 5.055
_cell_length_c 5.150
_cell_angle_alpha 80.26
_cell_angle_beta 80.26
_cell_angle_gamma 34.55
_symmetry_space_group_name_H-M 'P 1'
_symmetry_Int_Tables_number 1
_symmetry_space_group_name_Hall 'P 1'
loop_
_atom_site_label
_atom_site_type_symbol
_atom_site_fract_x
_atom_site_fract_y
_atom_site_fract_z
Hg1 Hg 0.747 0.747 0.256
Hg2 Hg 0.253 0.253 0.744
Rh1 Rh 0.000 0.000 0.500
Ta1 Ta 0.500 0.500 0.000
```